3
Lattice="2.5580 -2.0322 3.9456 -0.4940 2.0151 4.6836 -2.5271 -2.5695 3.6403" Properties=species:S:1:pos:R:3 comment="NaSmTe PBE optimized geometry" volume_a3_per_atom=31.7 e_tot_ev_per_fu=-10.7 polymorph_energy_mev_per_atom=0 pbc="T T T"
Sm -0.3473 -1.9399 9.2021
Te 0.0000 0.0000 0.0000
Na -0.1158 -0.6466 3.0674